The following is a PBEsol calculation of an optimized crystal structure of RbCuNO2, from Alexandria via LeMat-Bulk.

```
5
Lattice="-0.1299 2.6642 2.9174 -3.3706 -1.6451 1.3522 2.1255 -2.4431 2.3257" Properties=species:S:1:pos:R:3 pbc="T T T"
Rb -0.6875 -0.7120 3.2977
Cu 0.0000 0.0000 0.0000
O 1.0627 -1.2216 1.1629
N -0.0650 1.3321 1.4587
O -1.6853 -0.8225 0.6761
```

The value obtained for the size of the total moment is 0.59 μB/atom. As for the space-group type: No. 123. The uncorrected formation energy comes out at 355 meV/atom. The total energy comes out at -22.610 eV per cell.